[1]
Below is K2CaFe after structural relaxation, with properties calculated at the PBEsol level.

Cell: 3.786 6.661 6.893 Å, 118.89 90.00 90.00°
Site moments in Bohr magnetons follow the coordinates.
Element x y z (fractional)
Ca (0.500, 0.000, 0.000)  -0.07
Fe (0.500, 0.500, 0.000)  3.11
K (0.000, 0.500, 0.500)  -0.01
K (0.000, 0.000, 0.500)  -0.01

The total energy comes out at -2.34 eV/atom. Its crystal system is orthorhombic. For the density of states at the Fermi level, the calculation gives 1.576 states/eV per atom.


[2]
Below is RbSi3O after structural relaxation, with properties calculated at the PBEsol level.

Cell: 5.503 5.503 5.503 Å, 90.00 90.00 90.00°
Site moments in Bohr magnetons follow the coordinates.
Element x y z (fractional)
Si (0.000, 0.500, 0.000)  0.11
Si (0.000, 0.000, 0.500)  0.11
Si (0.500, 0.000, 0.000)  0.11
O (0.500, 0.500, 0.500)  1.25
Rb (0.000, 0.000, 0.000)  0.08

The calculation puts the uncorrected formation energy at 2.74 eV/atom. The total energy comes out at -1.96 eV/atom. Its crystal system is cubic. For the density of states at the Fermi level, the calculation gives 1.321 states/eV per atom.


[3]
Below is LiCl2 after structural relaxation, with properties calculated at the PBEsol level.

Cell: 3.583 5.555 7.179 Å, 113.84 90.00 108.81°
Element x y z (fractional)
Cl (0.675, 0.350, 0.637)
Cl (0.451, 0.901, 0.102)
Cl (0.549, 0.099, 0.898)
Cl (0.325, 0.650, 0.363)
Li (0.108, 0.215, 0.388)
Li (0.892, 0.785, 0.612)

The calculation puts the uncorrected formation energy at -1.14 eV/atom. The total energy comes out at -3.14 eV/atom. Its crystal system is monoclinic. For the density of states at the Fermi level, the calculation gives 0.000 states/eV per atom.


[4]
Below is CaTi2Ru after structural relaxation, with properties calculated at the PBEsol level.

Cell: 4.579 4.579 4.579 Å, 60.00 60.00 60.00°
Element x y z (fractional)
Ru (0.500, 0.500, 0.500)
Ca (0.000, 0.000, 0.000)
Ti (0.250, 0.250, 0.250)
Ti (0.750, 0.750, 0.750)

The total energy comes out at -7.02 eV/atom. Its crystal system is cubic. For the density of states at the Fermi level, the calculation gives 1.161 states/eV per atom.


[5]
Below is Fe2Te after structural relaxation, with properties calculated at the PBEsol level.

Cell: 3.144 3.144 5.501 Å, 90.00 90.00 120.00°
Site moments in Bohr magnetons follow the coordinates.
Element x y z (fractional)
Fe (0.667, 0.333, 0.363)  2.27
Fe (0.333, 0.667, 0.637)  2.27
Te (0.000, 0.000, 0.000)  -0.07

The calculation puts the uncorrected formation energy at 0.49 eV/atom. The total energy comes out at -6.66 eV/atom. Its crystal system is trigonal. For the density of states at the Fermi level, the calculation gives 0.758 states/eV per atom.


[6]
Below is Nb2Co21B6 after structural relaxation, with properties calculated at the PBEsol level.

Cell: 7.323 7.323 7.323 Å, 60.00 60.00 60.00°
Site moments in Bohr magnetons follow the coordinates.
Element x y z (fractional)
Nb (0.750, 0.750, 0.750)  -0.28
Nb (0.250, 0.250, 0.250)  -0.28
B (0.274, 0.274, 0.726)  1.51
B (0.726, 0.274, 0.726)  0.46
B (0.726, 0.274, 0.274)  0.46
B (0.726, 0.726, 0.274)  0.46
B (0.274, 0.726, 0.274)  0.46
B (0.274, 0.726, 0.726)  0.46
Co (0.000, 0.000, 0.000)  0.46
Co (0.616, 0.151, 0.616)  0.46
Co (0.616, 0.616, 0.151)  0.46
Co (0.616, 0.616, 0.616)  1.11
Co (0.151, 0.616, 0.616)  1.11
Co (0.384, 0.849, 0.384)  1.11
Co (0.384, 0.384, 0.849)  1.11
Co (0.384, 0.384, 0.384)  1.11
Co (0.849, 0.384, 0.384)  1.11
Co (0.662, 0.338, 0.000)  1.11
Co (0.000, 0.338, 0.000)  1.11
Co (0.000, 0.338, 0.662)  1.11
Co (0.000, 0.000, 0.338)  1.11
Co (0.662, 0.000, 0.338)  1.11
Co (0.000, 0.662, 0.338)  1.11
Co (0.000, 0.000, 0.662)  -0.06
Co (0.000, 0.662, 0.000)  -0.06
Co (0.662, 0.000, 0.000)  -0.06
Co (0.338, 0.662, 0.000)  -0.06
Co (0.338, 0.000, 0.662)  -0.06
Co (0.338, 0.000, 0.000)  -0.06

The total energy comes out at -8.11 eV/atom. Its crystal system is cubic. For the density of states at the Fermi level, the calculation gives 1.055 states/eV per atom.


[7]
Below is RbGe2NO after structural relaxation, with properties calculated at the PBEsol level.

Cell: 4.234 5.733 5.733 Å, 90.00 90.00 90.00°
Site moments in Bohr magnetons follow the coordinates.
Element x y z (fractional)
Ge (0.000, 0.000, 0.500)  -0.29
Ge (0.000, 0.500, 0.000)  -0.29
O (0.500, 0.000, 0.000)  -0.09
Rb (0.000, 0.000, 0.000)  -0.04
N (0.500, 0.500, 0.500)  1.44

The calculation puts the uncorrected formation energy at 2.31 eV/atom. The total energy comes out at -2.63 eV/atom. Its crystal system is tetragonal. For the density of states at the Fermi level, the calculation gives 0.924 states/eV per atom.


[8]
Below is RbTe2Au after structural relaxation, with properties calculated at the PBEsol level.

Cell: 6.948 6.948 6.948 Å, 104.61 104.61 119.70°
Element x y z (fractional)
Te (0.958, 0.875, 0.583)
Te (0.292, 0.375, 0.417)
Te (0.625, 0.042, 0.917)
Te (0.125, 0.708, 0.083)
Au (0.250, 0.750, 0.500)
Au (0.000, 0.000, 0.000)
Rb (0.750, 0.250, 0.500)
Rb (0.500, 0.500, 0.000)

The calculation puts the uncorrected formation energy at -0.39 eV/atom. The total energy comes out at -3.39 eV/atom. Its crystal system is tetragonal. For the density of states at the Fermi level, the calculation gives 0.214 states/eV per atom.


[9]
Below is TaSnW2I after structural relaxation, with properties calculated at the PBEsol level.

Cell: 4.841 4.841 4.943 Å, 90.00 90.00 90.00°
Element x y z (fractional)
I (0.000, 0.000, 0.000)
Sn (0.500, 0.500, 0.500)
W (0.000, 0.500, 0.000)
W (0.500, 0.000, 0.000)
Ta (0.000, 0.000, 0.500)

The calculation puts the uncorrected formation energy at 2.43 eV/atom. The total energy comes out at -6.81 eV/atom. Its crystal system is tetragonal. For the density of states at the Fermi level, the calculation gives 0.930 states/eV per atom.


[10]
Below is BeCrSi2 after structural relaxation, with properties calculated at the PBEsol level.

Cell: 2.518 4.180 4.481 Å, 94.52 106.31 90.00°
Element x y z (fractional)
Cr (0.751, 0.242, 0.503)
Si (0.010, 0.027, 0.019)
Si (0.250, 0.732, 0.500)
Be (0.489, 0.500, 0.978)

The calculation puts the uncorrected formation energy at -0.02 eV/atom. The total energy comes out at -6.46 eV/atom. Its crystal system is monoclinic. For the density of states at the Fermi level, the calculation gives 0.549 states/eV per atom.


[11]
Below is Zr2Tl after structural relaxation, with properties calculated at the PBEsol level.

Cell: 5.027 5.027 5.962 Å, 90.00 90.00 120.00°
Element x y z (fractional)
Tl (0.667, 0.333, 0.750)
Tl (0.333, 0.667, 0.250)
Zr (0.000, 0.000, 0.000)
Zr (0.000, 0.000, 0.500)
Zr (0.667, 0.333, 0.250)
Zr (0.333, 0.667, 0.750)

The total energy comes out at -7.10 eV/atom. Its crystal system is hexagonal. For the density of states at the Fermi level, the calculation gives 1.149 states/eV per atom.


[12]
Below is AsP2PbCl after structural relaxation, with properties calculated at the PBEsol level.

Cell: 4.762 4.762 4.931 Å, 90.00 90.00 90.00°
Element x y z (fractional)
Pb (0.500, 0.500, 0.500)
P (0.000, 0.500, 0.000)
P (0.500, 0.000, 0.000)
As (0.000, 0.000, 0.000)
Cl (0.000, 0.000, 0.500)

The calculation puts the uncorrected formation energy at 0.38 eV/atom. The total energy comes out at -4.16 eV/atom. Its crystal system is tetragonal. For the density of states at the Fermi level, the calculation gives 0.546 states/eV per atom.


[13]
Below is CsKPd3 after structural relaxation, with properties calculated at the PBEsol level.

Cell: 5.322 5.322 5.322 Å, 90.00 90.00 90.00°
Element x y z (fractional)
Cs (0.000, 0.000, 0.000)
K (0.500, 0.500, 0.500)
Pd (0.000, 0.500, 0.000)
Pd (0.000, 0.000, 0.500)
Pd (0.500, 0.000, 0.000)

The total energy comes out at -2.94 eV/atom. Its crystal system is cubic. For the density of states at the Fermi level, the calculation gives 0.224 states/eV per atom.


[14]
Below is CoCuNi2 after structural relaxation, with properties calculated at the PBEsol level.

Cell: 2.453 4.253 4.293 Å, 99.26 90.00 106.76°
Site moments in Bohr magnetons follow the coordinates.
Element x y z (fractional)
Ni (0.748, 0.496, 0.745)  1.65
Ni (0.252, 0.504, 0.255)  0.07
Co (0.000, 0.000, 0.500)  0.55
Cu (0.500, 0.000, 0.000)  0.55

The total energy comes out at -6.04 eV/atom. Its crystal system is monoclinic. For the density of states at the Fermi level, the calculation gives 0.992 states/eV per atom.


[15]
Below is ReTe2PdCl after structural relaxation, with properties calculated at the PBEsol level.

Cell: 4.209 5.293 5.293 Å, 90.00 90.00 90.00°
Site moments in Bohr magnetons follow the coordinates.
Element x y z (fractional)
Re (0.500, 0.000, 0.000)  0.63
Te (0.000, 0.000, 0.500)  0.04
Te (0.000, 0.500, 0.000)  0.04
Pd (0.500, 0.500, 0.500)  0.13
Cl (0.000, 0.000, 0.000)  0.00

The calculation puts the uncorrected formation energy at 1.64 eV/atom. The total energy comes out at -4.03 eV/atom. Its crystal system is tetragonal. For the density of states at the Fermi level, the calculation gives 1.135 states/eV per atom.


[16]
Below is BeBO2 after structural relaxation, with properties calculated at the PBEsol level.

Cell: 2.629 2.629 4.932 Å, 74.54 74.54 60.00°
Element x y z (fractional)
Be (0.500, 0.500, 0.500)
B (0.000, 0.000, 0.000)
O (0.902, 0.902, 0.294)
O (0.098, 0.098, 0.706)

The calculation puts the uncorrected formation energy at -1.54 eV/atom. The total energy comes out at -6.92 eV/atom. Its crystal system is trigonal. For the density of states at the Fermi level, the calculation gives 0.374 states/eV per atom.


[17]
Below is TlAgHg2 after structural relaxation, with properties calculated at the PBEsol level.

Cell: 3.195 4.115 6.788 Å, 90.00 90.00 90.00°
Element x y z (fractional)
Tl (0.000, 0.000, 0.517)
Hg (0.000, 0.000, 0.978)
Hg (0.500, 0.500, 0.232)
Ag (0.500, 0.500, 0.773)

The total energy comes out at -1.71 eV/atom. Its crystal system is orthorhombic. For the density of states at the Fermi level, the calculation gives 0.286 states/eV per atom.


[18]
Below is NbCdO2 after structural relaxation, with properties calculated at the PBEsol level.

Cell: 6.242 6.242 6.242 Å, 60.00 60.00 60.00°
Element x y z (fractional)
Nb (0.250, 0.250, 0.250)
Nb (0.000, 0.000, 0.000)
O (0.125, 0.125, 0.625)
O (0.125, 0.125, 0.125)
O (0.625, 0.125, 0.125)
O (0.125, 0.625, 0.125)
Cd (0.750, 0.750, 0.750)
Cd (0.500, 0.500, 0.500)

The calculation puts the uncorrected formation energy at -1.39 eV/atom. The total energy comes out at -7.02 eV/atom. Its crystal system is cubic. For the density of states at the Fermi level, the calculation gives 0.599 states/eV per atom.


[19]
Below is KSr3Cu after structural relaxation, with properties calculated at the PBEsol level.

Cell: 6.103 6.103 6.103 Å, 90.00 90.00 90.00°
Element x y z (fractional)
Sr (0.000, 0.500, 0.000)
Sr (0.000, 0.000, 0.500)
Sr (0.500, 0.000, 0.000)
K (0.500, 0.500, 0.500)
Cu (0.000, 0.000, 0.000)

The total energy comes out at -2.14 eV/atom. Its crystal system is cubic. For the density of states at the Fermi level, the calculation gives 0.750 states/eV per atom.


[20]
Below is TaCr2Ag after structural relaxation, with properties calculated at the PBEsol level.

Cell: 2.786 2.786 8.850 Å, 80.94 80.94 60.00°
Element x y z (fractional)
Ag (0.256, 0.256, 0.231)
Cr (0.012, 0.012, 0.965)
Cr (0.738, 0.738, 0.786)
Ta (0.494, 0.494, 0.518)

The total energy comes out at -8.64 eV/atom. Its crystal system is trigonal. For the density of states at the Fermi level, the calculation gives 1.046 states/eV per atom.


[21]
Below is AlCrCd after structural relaxation, with properties calculated at the PBEsol level.

Cell: 2.944 2.944 5.974 Å, 104.27 104.26 90.00°
Site moments in Bohr magnetons follow the coordinates.
Element x y z (fractional)
Cr (0.347, 0.347, 0.694)  2.53
Al (0.980, 0.980, 0.959)  -0.04
Cd (0.673, 0.673, 0.347)  -0.01

The total energy comes out at -4.91 eV/atom. Its crystal system is tetragonal. For the density of states at the Fermi level, the calculation gives 0.478 states/eV per atom.


[22]
Below is CsSmZnSe3 after structural relaxation, with properties calculated at the PBEsol level.

Cell: 4.153 8.170 11.002 Å, 90.00 90.00 104.72°
Element x y z (fractional)
Cs (0.257, 0.513, 0.250)
Cs (0.743, 0.487, 0.750)
Zn (0.537, 0.075, 0.250)
Zn (0.463, 0.925, 0.750)
Sm (0.000, 0.000, 0.500)
Sm (0.000, 0.000, 0.000)
Se (0.057, 0.115, 0.750)
Se (0.380, 0.760, 0.936)
Se (0.620, 0.240, 0.064)
Se (0.620, 0.240, 0.436)
Se (0.943, 0.885, 0.250)
Se (0.380, 0.760, 0.564)

The calculation puts the uncorrected formation energy at -1.40 eV/atom. The total energy comes out at -4.59 eV/atom. Its crystal system is orthorhombic. For the density of states at the Fermi level, the calculation gives 0.000 states/eV per atom.


[23]
Below is BaB6 after structural relaxation, with properties calculated at the PBEsol level.

Cell: 4.252 4.252 4.252 Å, 90.00 90.00 90.00°
Element x y z (fractional)
B (0.205, 0.500, 0.500)
B (0.500, 0.500, 0.795)
B (0.500, 0.500, 0.205)
B (0.500, 0.205, 0.500)
B (0.500, 0.795, 0.500)
B (0.795, 0.500, 0.500)
Ba (0.000, 0.000, 0.000)

The total energy comes out at -6.76 eV/atom. Its crystal system is cubic. For the density of states at the Fermi level, the calculation gives 0.043 states/eV per atom.


[24]
Below is CsLi2Cl3 after structural relaxation, with properties calculated at the PBEsol level.

Cell: 6.788 7.218 12.404 Å, 90.00 90.00 90.00°
Element x y z (fractional)
Cl (0.943, 0.402, 0.749)
Cl (0.443, 0.098, 0.751)
Cl (0.557, 0.402, 0.251)
Cl (0.057, 0.098, 0.249)
Cl (0.057, 0.598, 0.251)
Cl (0.557, 0.902, 0.249)
Cl (0.443, 0.598, 0.749)
Cl (0.943, 0.902, 0.751)
Cl (0.750, 0.193, 0.500)
Cl (0.250, 0.307, 0.000)
Cl (0.250, 0.807, 0.500)
Cl (0.750, 0.693, 0.000)
Cs (0.750, 0.700, 0.500)
Cs (0.250, 0.800, 0.000)
Cs (0.250, 0.300, 0.500)
Cs (0.750, 0.200, 0.000)
Li (0.759, 0.153, 0.684)
Li (0.259, 0.347, 0.816)
Li (0.741, 0.153, 0.316)
Li (0.241, 0.347, 0.184)
Li (0.241, 0.847, 0.316)
Li (0.741, 0.653, 0.184)
Li (0.259, 0.847, 0.684)
Li (0.759, 0.653, 0.816)

The calculation puts the uncorrected formation energy at -1.87 eV/atom. The total energy comes out at -3.69 eV/atom. Its crystal system is orthorhombic. For the density of states at the Fermi level, the calculation gives 0.000 states/eV per atom.


[25]
Below is SrSb3N after structural relaxation, with properties calculated at the PBEsol level.

Cell: 5.957 5.957 5.957 Å, 90.00 90.00 90.00°
Site moments in Bohr magnetons follow the coordinates.
Element x y z (fractional)
Sb (0.000, 0.500, 0.000)  -0.01
Sb (0.000, 0.000, 0.500)  -0.01
Sb (0.500, 0.000, 0.000)  -0.01
N (0.500, 0.500, 0.500)  1.85
Sr (0.000, 0.000, 0.000)  0.01

The calculation puts the uncorrected formation energy at 1.83 eV/atom. The total energy comes out at -2.98 eV/atom. Its crystal system is cubic. For the density of states at the Fermi level, the calculation gives 0.840 states/eV per atom.


[26]
Below is LaGeRu after structural relaxation, with properties calculated at the PBEsol level.

Cell: 4.284 4.284 6.963 Å, 90.00 90.00 90.00°
Element x y z (fractional)
La (0.000, 0.500, 0.313)
La (0.500, 0.000, 0.687)
Ge (0.000, 0.500, 0.815)
Ge (0.500, 0.000, 0.185)
Ru (0.000, 0.000, 0.000)
Ru (0.500, 0.500, 0.000)

The total energy comes out at -7.51 eV/atom. Its crystal system is tetragonal. For the density of states at the Fermi level, the calculation gives 0.812 states/eV per atom.